(1)
A plane-wave DFT calculation with PBE-GGA was carried out for a geometry-optimized Y4Os3 structure.

Calculated values
Final energy   -59.205 eV per formula unit
Magnetic moment   0.00 μB per cell
Calculated formation energy   0.34 eV/f.u.
DOS(E_F)   0.626 states/eV/atom

Cell: 15.5104 15.5104 15.5104 Å, 167.89 167.89 17.15°
Closest atoms and distances in Å follow each position.
Fractional positions:
Y (0.1638, 0.1638, 0.0000)  5 Os 3.05-3.30, 4 Y 3.27
Y (0.4442, 0.4442, 0.0000)  4 Os 2.88
Y (0.5558, 0.5558, 0.0000)  4 Os 2.88
Y (0.8362, 0.8362, 0.0000)  5 Os 3.05-3.30, 4 Y 3.27
Os (0.2714, 0.2714, 0.0000)  4 Os 2.66
Os (0.7286, 0.7286, 0.0000)  4 Os 2.66
Os (0.0000, 0.0000, 0.0000)  8 Y 2.88

(2)
A plane-wave DFT calculation with PBE-GGA was carried out for a geometry-optimized YOs structure.

Calculated values
Final energy   -17.426 eV per formula unit
Magnetic moment   0.00 μB per cell
Calculated formation energy   0.27 eV/f.u.
DOS(E_F)   0.829 states/eV/atom

Cell: 3.0795 3.0795 8.9738 Å, 90.00 90.00 90.00°
Closest atoms and distances in Å follow each position.
Fractional positions:
Os (0.2500, 0.2500, 0.0832)  4 Os 2.64
Os (0.7500, 0.7500, 0.9168)  4 Os 2.64
Y (0.2500, 0.2500, 0.6809)  4 Os 3.04, 4 Y 3.08
Y (0.7500, 0.7500, 0.3191)  4 Os 3.04, 4 Y 3.08